Record 1
A relaxed structure of Li2TmTl2Cd2, computed with GGA-PBE.

Computed properties:
The value obtained for the total moment is 0.0 μB per formula unit. Its total energy is -49.0 eV for the cell shown. Its formation energy is -20.1 kJ/mol of atoms. As for the density of states at the Fermi level: 0.3325 states/eV per atom.

Lattice parameters (Å, degrees): 4.8996 4.8996 22.6950 90.00 90.00 120.00
Last column: nearest neighbours and their distance in Å.
Space group R-3m (No. 166, hexagonal axes)
Asymmetric unit:
Li1 0.0000 0.0000 0.1438  1 Tl 2.93, 3 Cd 3.00, 3 Li 3.01, 1 Tm 3.26
Tm1 0.0000 0.0000 0.0000  6 Tl 3.14, 2 Li 3.26
Tl1 0.0000 0.0000 0.2731  1 Li 2.93, 3 Cd 2.97, 3 Tm 3.14
Cd1 0.0000 0.0000 0.4337  3 Tl 2.97, 3 Li 3.00, 1 Cd 3.01


Record 2
A relaxed structure of GeBr2Cl, computed with GGA-PBE.

Computed properties:
The value obtained for the total moment is 0.0 μB per formula unit. Its total energy is -44.1 eV for the cell shown. Its formation energy from raw total energies is -0.31 eV/atom. As for the density of states at the Fermi level: 0.6680 states/eV per atom.

Lattice parameters (Å, degrees): 9.7134 9.7134 5.0081 90.00 90.00 90.00
Last column: nearest neighbours and their distance in Å.
Space group I-42d (No. 122)
Asymmetric unit:
Ge1 0.0000 0.0000 0.0000  2 Cl 2.50, 4 Br 2.73
Br1 0.1106 0.2500 0.1250  2 Ge 2.73
Cl1 0.0000 0.0000 0.5000  2 Ge 2.50


Record 3
A relaxed structure of LiEr2Ga, computed with GGA-PBE.

Computed properties:
The value obtained for the total moment is 0.0 μB per formula unit. Its total energy is -43.5 eV for the cell shown. Its formation energy is -10.6 kJ/mol of atoms. As for the density of states at the Fermi level: 0.8432 states/eV per atom.

Lattice parameters (Å, degrees): 3.5177 3.5177 29.2696 90.00 90.00 120.00
Last column: nearest neighbours and their distance in Å.
Space group R-3m (No. 166, hexagonal axes)
Asymmetric unit:
Li1 0.0000 0.0000 0.0000  6 Er 3.40, 6 Li 3.52
Er1 0.0000 0.0000 0.2403  3 Ga 2.96
Ga1 0.0000 0.0000 0.5000  6 Er 2.96


Record 4
A relaxed structure of CaH7Pt2, computed with GGA-PBE.

Computed properties:
The value obtained for the total moment is 0.0 μB per formula unit. Its total energy is -79.0 eV for the cell shown. As for the density of states at the Fermi level: 0.0572 states/eV per atom.

Lattice parameters (Å, degrees): 5.8431 8.6607 3.6957 90.00 90.00 90.00
Last column: nearest neighbours and their distance in Å.
Space group Cmmm (No. 65)
Asymmetric unit:
Ca1 0.0000 0.0000 0.0000  10 H 2.51-2.59
H1 0.0000 0.2991 0.0000  2 Pt 1.85
H2 0.0000 0.5000 0.5000  2 Pt 1.79
H3 0.2042 0.1395 0.5000  2 Pt 1.79-1.82, 1 H 1.99
Pt1 0.0000 0.2930 0.5000  7 H 1.79-1.85